First-principles (GGA-PBE) data for crystalline Sc3TaO at its relaxed geometry, as listed in Alexandria.

The calculation puts the formation energy from raw total energies at 0.98 eV per atom. Its distance to the lowest polymorph of the same formula is 2012 meV per atom. The calculation puts the final energy at -30.90 eV for the cell shown. For the volume, the calculation gives 131 Å³/cell. The calculation puts the total magnetic moment at 0.00 μB/f.u.

It has space group Pm-3m (No. 221), with a = 5.0724 Å, b = 5.0724 Å, c = 5.0724 Å, α = 90.00°, β = 90.00° and γ = 90.00°. Symmetry generates all atoms from Sc at (0.0000, 0.0000, 0.5000), Ta at (0.0000, 0.0000, 0.0000) and O at (0.5000, 0.5000, 0.5000).